Record 1
# Be15Nb6Ni8 | Alexandria | SCAN | single point on PBEsol structure
data_Be15Nb6Ni8
_space_group_name_H-M_alt 'F m -3 m'
_space_group_IT_number 225
_space_group_name_Hall '-F 4 2 3'
_cell_length_a 10.619
_cell_length_b 10.619
_cell_length_c 10.619
_cell_angle_alpha 90.00
_cell_angle_beta 90.00
_cell_angle_gamma 90.00
loop_
_atom_site_label
_atom_site_type_symbol
_atom_site_fract_x
_atom_site_fract_y
_atom_site_fract_z
Be1 Be 0.000 0.000 0.000
Be2 Be 0.000 0.250 0.250
Be3 Be 0.174 0.174 0.326
Nb1 Nb 0.000 0.000 0.297
Ni1 Ni 0.122 0.122 0.122
# Total DFT energy (no corrections) in eV per atom: -13.995
# Formation energy from the elements in eV/atom: -0.428
# Magnetic moment in μB/f.u.: 0.00
# V in Å³/cell: 1197.5

Record 2
# BeNbO3 | Alexandria | SCAN | single point on PBEsol structure
data_BeNbO3
_space_group_name_H-M_alt 'P m -3 m'
_space_group_IT_number 221
_space_group_name_Hall '-P 4 2 3'
_cell_length_a 3.397
_cell_length_b 3.397
_cell_length_c 3.397
_cell_angle_alpha 90.00
_cell_angle_beta 90.00
_cell_angle_gamma 90.00
loop_
_atom_site_label
_atom_site_type_symbol
_atom_site_fract_x
_atom_site_fract_y
_atom_site_fract_z
Be1 Be 0.000 0.000 0.000
Nb1 Nb 0.500 0.500 0.500
O1 O 0.000 0.000 0.500
# Total DFT energy (no corrections) in eV per atom: -13.160
# Formation energy from raw total energies in eV/atom: -1.924
# Magnetic moment in μB/f.u.: 0.00
# V in Å³/cell: 39.2

Record 3
# Be2NbOs | Alexandria | SCAN | single point on PBEsol structure
data_Be2NbOs
_space_group_name_H-M_alt 'F m -3 m'
_space_group_IT_number 225
_space_group_name_Hall '-F 4 2 3'
_cell_length_a 5.734
_cell_length_b 5.734
_cell_length_c 5.734
_cell_angle_alpha 90.00
_cell_angle_beta 90.00
_cell_angle_gamma 90.00
loop_
_atom_site_label
_atom_site_type_symbol
_atom_site_fract_x
_atom_site_fract_y
_atom_site_fract_z
Be1 Be 0.250 0.250 0.250
Nb1 Nb 0.000 0.000 0.000
Os1 Os 0.000 0.000 0.500
# Total DFT energy (no corrections) in eV per atom: -28.618
# Formation energy from the elements in eV/atom: -0.189
# Magnetic moment in μB/f.u.: 0.00
# V in Å³/cell: 188.5

Record 4
# Be2NbOsS | Alexandria | SCAN | single point on PBEsol structure
data_Be2NbOsS
_space_group_name_H-M_alt 'P 4/m m m'
_space_group_IT_number 123
_space_group_name_Hall '-P 4 2'
_cell_length_a 4.197
_cell_length_b 4.197
_cell_length_c 4.463
_cell_angle_alpha 90.00
_cell_angle_beta 90.00
_cell_angle_gamma 90.00
loop_
_atom_site_label
_atom_site_type_symbol
_atom_site_fract_x
_atom_site_fract_y
_atom_site_fract_z
Be1 Be 0.000 0.500 0.000
Nb1 Nb 0.000 0.000 0.000
Os1 Os 0.500 0.500 0.500
S1 S 0.000 0.000 0.500
# Total DFT energy (no corrections) in eV per atom: -22.963
# Formation energy from raw total energies in eV/atom: 1.706
# Magnetic moment in μB/f.u.: 0.00
# V in Å³/cell: 78.6

- Which formula does entry 1 have?
  Be15Nb6Ni8

- V of number 4 (Be2NbOsS)?
  78.6 Å³/cell